GePtSe3 | GGA-PBE | relaxed

For the total energy, the calculation gives -19.0 eV/cell. Its crystal system is cubic. The calculation puts the density of states at the Fermi level at 5.17 states/eV/cell. The calculation puts the uncorrected formation energy at 0.427 eV per atom.

Cell lengths 4.976, 4.976, 4.976 Å; angles 90.00, 90.00, 90.00 degrees
Element x y z (fractional)
Ge (0.000, 0.000, 0.000)
Pt (0.500, 0.500, 0.500)
Se (0.000, 0.500, 0.500)
Se (0.500, 0.000, 0.500)
Se (0.500, 0.500, 0.000)